Entry from the Alexandria database: a geometry-optimized NaTe3Br structure (PBE).

a = 5.503 Å, b = 5.503 Å, c = 5.503 Å
α = 90.00°, β = 90.00°, γ = 90.00°
Space group Pm-3m (No. 221)
Inequivalent atoms, fractional coordinates:
Na 0.000 0.000 0.000 x1
Te 0.000 0.000 0.500 x3
Br 0.500 0.500 0.500 x1

Results
Formation energy (no corrections)   543 meV/atom
Crystal system   cubic

Entry from the Alexandria database: a geometry-optimized PmYHoTm structure (PBE).

a = 5.041 Å, b = 5.041 Å, c = 10.032 Å
α = 90.00°, β = 90.00°, γ = 90.00°
Space group I-4m2 (No. 119)
Inequivalent atoms, fractional coordinates:
Pm 0.000 0.000 0.000 x2
Y 0.000 0.500 0.750 x2
Ho 0.000 0.500 0.250 x2
Tm 0.000 0.000 0.500 x2

Results
Energy of formation   0.024 eV/atom
Crystal system   tetragonal

Entry from the Alexandria database: a geometry-optimized Cs2TiCu2Te6 structure (PBE).

a = 13.596 Å, b = 7.860 Å, c = 8.844 Å
α = 90.00°, β = 120.85°, γ = 90.00°
Space group C2/m (No. 12)
Inequivalent atoms, fractional coordinates:
Cs 0.238 0.000 0.216 x4
Ti 0.000 0.000 0.500 x2
Cu 0.097 0.500 0.293 x4
Te 0.006 0.227 0.743 x8
Te 0.233 0.000 0.742 x4

Results
Formation energy (no corrections)   -391 meV/atom
Crystal system   monoclinic

Entry from the Alexandria database: a geometry-optimized GeIrW2 structure (PBE).

a = 5.551 Å, b = 5.551 Å, c = 12.025 Å
α = 90.00°, β = 90.00°, γ = 90.00°
Space group I-42d (No. 122)
Inequivalent atoms, fractional coordinates:
Ge 0.000 0.000 0.000 x4
Ir 0.000 0.000 0.500 x4
W 0.239 0.250 0.625 x8

Results
Energy of formation   1.245 eV/atom
Crystal system   tetragonal

Entry from the Alexandria database: a geometry-optimized NaTcO4 structure (PBE).

a = 6.193 Å, b = 6.803 Å, c = 10.172 Å
α = 90.00°, β = 103.24°, γ = 90.00°
Space group P2_1/c (No. 14)
Inequivalent atoms, fractional coordinates:
Na 0.249 0.134 0.498 x4
Tc 0.307 0.639 0.679 x4
O 0.137 0.659 0.121 x4
O 0.180 0.077 0.113 x4
O 0.363 0.623 0.856 x4
O 0.443 0.165 0.868 x4

Results
Formation energy (no corrections)   -1614 meV/atom
Crystal system   monoclinic

Entry from the Alexandria database: a geometry-optimized TlCd2Ga structure (PBE).

a = 3.4124 Å, b = 3.4124 Å, c = 29.1471 Å
α = 90.00°, β = 90.00°, γ = 120.00°
Space group R-3m (No. 166, hexagonal axes)
Inequivalent atoms, fractional coordinates:
Tl 0.0000 0.0000 0.0000 x3
Cd 0.0000 0.0000 0.2415 x6
Ga 0.0000 0.0000 0.5000 x3

Results
Energy of formation   0.072 eV/atom
Crystal system   trigonal

Entry from the Alexandria database: a geometry-optimized Ce7Sn3Bi structure (PBE).

a = 6.110 Å, b = 9.222 Å, c = 12.140 Å
α = 90.00°, β = 90.00°, γ = 90.00°
Space group Immm (No. 71)
Inequivalent atoms, fractional coordinates:
Ce 0.000 0.000 0.000 x2
Ce 0.000 0.147 0.500 x4
Ce 0.000 0.355 0.242 x8
Sn 0.000 0.000 0.261 x4
Sn 0.000 0.500 0.000 x2
Bi 0.000 0.500 0.500 x2

Results
Energy of formation   -0.414 eV/atom
Crystal system   orthorhombic

Entry from the Alexandria database: a geometry-optimized NdEu3Ni structure (PBE).

a = 5.608 Å, b = 5.608 Å, c = 5.608 Å
α = 90.00°, β = 90.00°, γ = 90.00°
Space group Pm-3m (No. 221)
Inequivalent atoms, fractional coordinates:
Nd 0.000 0.000 0.000 x1
Eu 0.000 0.500 0.500 x3
Ni 0.500 0.500 0.500 x1

Results
Energy of formation   0.077 eV/atom
Crystal system   cubic

| no. | density (g cm⁻³) | electronic total energy (Ry/atom) | magnetization (μB/atom) |
| --- | --- | --- | --- |
| 1 | 4.84 | -0.14262 | 0.000 |
| 2 | 7.40 | -0.37058 | 0.000 |
| 3 | 4.94 | -0.27357 | 0.000 |
| 4 | 11.34 | -0.63219 | 0.000 |
| 5 | 2.95 | -0.50472 | 0.000 |
| 6 | 8.46 | -0.12747 | 0.000 |
| 7 | 7.51 | -0.41410 | 0.564 |
| 8 | 6.20 | -0.60252 | 4.356 |